No. 1
## CaAl2GeRu (PBE-GGA)

Data for crystalline CaAl2GeRu at its relaxed geometry.

Values from the calculation:
Calculated volume: 26.35 A^3/atom
Formation energy: 1.59 eV per atom
Space group: P4/mmm, No. 123
Electronic total energy: -15.44 eV/cell
DOS(E_F): 5.37 states/eV/f.u.
Total moment: 0.00 Bohr magnetons per cell

Lattice parameters (Å, degrees): 5.3541 5.3541 4.5965 90.00 90.00 90.00
With the nearest neighbours (Å) after each atom.
Atoms (fractional coordinates):
Ca (0.0000, 0.0000, 0.0000)  2 Ru 2.30
Al (0.0000, 0.5000, 0.0000)  2 Ca 2.68
Al (0.5000, 0.0000, 0.0000)  2 Ca 2.68
Ge (0.5000, 0.5000, 0.5000)  8 Al 3.53, 4 Ru 3.79
Ru (0.0000, 0.0000, 0.5000)  2 Ca 2.30

=====

No. 2
## CrAs2P (PBE-GGA)

Data for crystalline CrAs2P at its relaxed geometry.

Values from the calculation:
Calculated volume: 16.94 A^3/atom
Formation energy: 0.49 eV per atom
Space group: F-43m, No. 216
Electronic total energy: -22.39 eV/cell
DOS(E_F): 2.78 states/eV/f.u.
Total moment: 3.49 Bohr magnetons per cell

Lattice parameters (Å, degrees): 4.5764 4.5764 4.5764 60.00 60.00 60.00
With the nearest neighbours (Å) after each atom.
Atoms (fractional coordinates):
Cr (0.0000, 0.0000, 0.0000)  4 As 2.80, 4 P 2.80
As (0.5000, 0.5000, 0.5000)  4 As 2.80, 4 P 2.80
As (0.7500, 0.7500, 0.7500)  4 As 2.80, 4 Cr 2.80
P (0.2500, 0.2500, 0.2500)  4 Cr 2.80, 4 As 2.80

=====

No. 3
## DyAgHg3 (PBE-GGA)

Data for crystalline DyAgHg3 at its relaxed geometry.

Values from the calculation:
Calculated volume: 22.86 A^3/atom
Energy relative to the lowest polymorph listed for this composition: 0.0 kJ per mole of atoms
Formation energy: -0.24 eV per atom
Space group: P2_1/m, No. 11
Electronic total energy: -19.12 eV/cell
DOS(E_F): 2.37 states/eV/f.u.
Total moment: 0.00 Bohr magnetons per cell

Lattice parameters (Å, degrees): 5.0818 5.0996 9.1682 90.00 105.85 90.00
With the nearest neighbours (Å) after each atom.
Atoms (fractional coordinates):
Dy (0.1497, 0.2500, 0.3026)  8 Hg 3.07-3.11, 1 Ag 3.39
Dy (0.8503, 0.7500, 0.6974)  8 Hg 3.07-3.11, 1 Ag 3.39
Ag (0.3430, 0.2500, 0.6867)  8 Hg 3.01-3.16
Ag (0.6570, 0.7500, 0.3133)  8 Hg 3.01-3.16
Hg (0.0503, 0.7500, 0.1010)  2 Dy 3.11, 4 Hg 3.11-3.13, 2 Ag 3.15-3.16
Hg (0.2494, 0.7500, 0.4976)  4 Ag 3.01-3.05, 4 Dy 3.08-3.10
Hg (0.4485, 0.7500, 0.8941)  2 Dy 3.07-3.08, 4 Hg 3.13-3.16, 2 Ag 3.14
Hg (0.5515, 0.2500, 0.1059)  2 Dy 3.07-3.08, 4 Hg 3.13-3.16, 2 Ag 3.14
Hg (0.7506, 0.2500, 0.5024)  4 Ag 3.01-3.05, 4 Dy 3.08-3.10
Hg (0.9497, 0.2500, 0.8990)  2 Dy 3.11, 4 Hg 3.11-3.13, 2 Ag 3.15-3.16

=====

No. 4
## Rb2CrPbBr6 (PBE-GGA)

Data for crystalline Rb2CrPbBr6 at its relaxed geometry.

Values from the calculation:
Calculated volume: 35.62 A^3/atom
Space group: C2, No. 5
Electronic total energy: -36.76 eV/cell
DOS(E_F): 3.14 states/eV/f.u.
Total moment: 4.00 Bohr magnetons per cell
Energy relative to the elements, uncorrected: -110.6 kJ/mol of atoms

Lattice parameters (Å, degrees): 7.9568 7.9568 7.9522 119.94 119.94 90.13
With the nearest neighbours (Å) after each atom.
Atoms (fractional coordinates):
Rb (0.0000, 0.0000, 0.0000)  12 Br 3.97-3.99
Rb (0.5000, 0.5000, 0.0000)  12 Br 3.97-4.00
Cr (0.7493, 0.2507, 0.5000)  6 Br 2.63-2.64
Pb (0.2493, 0.7507, 0.5000)  6 Br 2.99
Br (0.5143, 0.0161, 0.0315)  1 Cr 2.64
Br (0.5146, 0.4854, 0.5000)  1 Cr 2.64
Br (0.5155, 0.0178, 0.5011)  1 Cr 2.63
Br (0.9822, 0.4845, 0.4989)  1 Cr 2.63
Br (0.9838, 0.0162, 0.5000)  1 Cr 2.64
Br (0.9839, 0.4857, 0.9685)  1 Cr 2.64

=====

No. 5
## ZrCd2Sb2 (PBE-GGA)

Data for crystalline ZrCd2Sb2 at its relaxed geometry.

Values from the calculation:
Calculated volume: 25.14 A^3/atom
Energy relative to the lowest polymorph listed for this composition: 0.0 kJ per mole of atoms
Space group: P4/mbm, No. 127
Electronic total energy: -37.54 eV/cell
DOS(E_F): 3.08 states/eV/f.u.
Total moment: 0.00 Bohr magnetons per cell
Energy relative to the elements, uncorrected: -2.8 kJ/mol of atoms

Lattice parameters (Å, degrees): 7.7177 7.7177 4.2211 90.00 90.00 90.00
With the nearest neighbours (Å) after each atom.
Atoms (fractional coordinates):
Zr (0.0000, 0.0000, 0.0000)  4 Sb 2.92
Zr (0.5000, 0.5000, 0.0000)  4 Sb 2.92
Cd (0.1560, 0.3440, 0.5000)  6 Sb 2.96-3.19
Cd (0.3440, 0.8440, 0.5000)  6 Sb 2.96-3.19
Cd (0.6560, 0.1560, 0.5000)  6 Sb 2.96-3.19
Cd (0.8440, 0.6560, 0.5000)  6 Sb 2.96-3.19
Sb (0.1535, 0.6535, 0.0000)  2 Zr 2.92, 6 Cd 2.96-3.19
Sb (0.3465, 0.1535, 0.0000)  2 Zr 2.92, 6 Cd 2.96-3.19
Sb (0.6535, 0.8465, 0.0000)  2 Zr 2.92, 6 Cd 2.96-3.19
Sb (0.8465, 0.3465, 0.0000)  2 Zr 2.92, 6 Cd 2.96-3.19

=====

No. 6
## Cu2AsCl (PBE-GGA)

Data for crystalline Cu2AsCl at its relaxed geometry.

Values from the calculation:
Calculated volume: 17.15 A^3/atom
Energy relative to the lowest polymorph listed for this composition: 5.2 kJ per mole of atoms
Space group: P2/m, No. 10
Electronic total energy: -14.80 eV/cell
DOS(E_F): 1.72 states/eV/f.u.
Total moment: 0.00 Bohr magnetons per cell
Energy relative to the elements, uncorrected: -2.7 kJ/mol of atoms

Lattice parameters (Å, degrees): 3.3904 3.1074 6.5113 90.00 90.24 90.00
With the nearest neighbours (Å) after each atom.
Atoms (fractional coordinates):
Cu (0.0059, 0.0000, 0.2013)  2 Cl 2.49, 1 Cu 2.62, 4 As 2.64-2.66
Cu (0.9941, 0.0000, 0.7987)  2 Cl 2.49, 1 Cu 2.62, 4 As 2.64-2.66
As (0.5000, 0.5000, 0.0000)  8 Cu 2.64-2.66
Cl (0.0000, 0.5000, 0.5000)  4 Cu 2.49